*w*
Material: Nd2Dy5Y
Method: DFT, GGA-PBE
State: relaxed

Cell: 9.9079 6.5822 10.8220 Å, 119.19 117.24 90.00°
With the nearest neighbours (Å) after each atom.
Element x y z (fractional)
Dy (0.9413, 0.7500, 0.0000)  4 Nd 3.21-3.52, 2 Dy 3.49
Dy (0.7137, 0.1284, 0.6036)  1 Nd 3.46, 2 Y 3.47-3.50, 7 Dy 3.64-3.78
Dy (0.0587, 0.2500, 0.0000)  4 Nd 3.21-3.52, 2 Dy 3.49
Dy (0.3108, 0.9462, 0.7997)  3 Nd 3.33-3.53, 1 Y 3.48, 5 Dy 3.64-3.73
Dy (0.2863, 0.8716, 0.3964)  1 Nd 3.46, 2 Y 3.47-3.50, 7 Dy 3.64-3.78
Dy (0.4889, 0.4462, 0.7997)  3 Nd 3.33-3.53, 1 Y 3.48, 5 Dy 3.64-3.73
Dy (0.6892, 0.0538, 0.2003)  3 Nd 3.33-3.53, 1 Y 3.48, 5 Dy 3.64-3.73
Dy (0.5111, 0.5538, 0.2003)  3 Nd 3.33-3.53, 1 Y 3.48, 5 Dy 3.64-3.73
Dy (0.1100, 0.3716, 0.3964)  1 Nd 3.46, 2 Y 3.47-3.50, 7 Dy 3.64-3.78
Dy (0.8900, 0.6284, 0.6036)  1 Nd 3.46, 2 Y 3.47-3.50, 7 Dy 3.64-3.78
Y (0.0000, 0.0000, 0.5000)  2 Nd 3.01
Y (0.5000, 0.5000, 0.5000)  2 Nd 3.01
Nd (0.8245, 0.5404, 0.1581)  1 Y 3.01, 2 Dy 3.21-3.33, 1 Nd 3.33
Nd (0.3335, 0.0404, 0.1581)  1 Y 3.01, 2 Dy 3.21-3.33, 1 Nd 3.33
Nd (0.1755, 0.4596, 0.8419)  1 Y 3.01, 2 Dy 3.21-3.33, 1 Nd 3.33
Nd (0.6665, 0.9596, 0.8419)  1 Y 3.01, 2 Dy 3.21-3.33, 1 Nd 3.33

## Properties
calculated volume = 525 Å³/cell
calculated density = 7.53 g/cm³

***

*x*
Material: Nd2Dy5Y
Method: DFT, GGA-PBE
State: relaxed

Cell: 5.0602 7.1644 14.3280 Å, 90.00 90.00 90.00°
With the nearest neighbours (Å) after each atom.
Element x y z (fractional)
Dy (0.5000, 0.7488, 0.6255)  4 Nd 3.57-3.59, 6 Dy 3.57-3.58, 2 Y 3.59
Dy (0.0000, 0.5008, 0.2505)  4 Nd 3.57-3.58, 7 Dy 3.57-3.58, 1 Y 3.59
Dy (0.5000, 0.7512, 0.1255)  4 Nd 3.57-3.59, 6 Dy 3.57-3.58, 2 Y 3.59
Dy (0.0000, 0.0008, 0.2495)  4 Nd 3.57-3.58, 7 Dy 3.57-3.58, 1 Y 3.59
Dy (0.0000, 0.5000, 0.5000)  6 Dy 3.58, 4 Nd 3.58, 2 Y 3.58
Dy (0.0000, 0.0000, 0.0000)  6 Dy 3.58, 4 Nd 3.58, 2 Y 3.58
Dy (0.0000, 0.9992, 0.7505)  4 Nd 3.57-3.58, 7 Dy 3.57-3.58, 1 Y 3.59
Dy (0.5000, 0.2488, 0.8745)  4 Nd 3.57-3.59, 6 Dy 3.57-3.58, 2 Y 3.59
Dy (0.5000, 0.2512, 0.3745)  4 Nd 3.57-3.59, 6 Dy 3.57-3.58, 2 Y 3.59
Dy (0.0000, 0.4992, 0.7495)  4 Nd 3.57-3.58, 7 Dy 3.57-3.58, 1 Y 3.59
Nd (0.5000, 0.2499, 0.1253)  10 Dy 3.57-3.59, 2 Y 3.58
Nd (0.5000, 0.2501, 0.6253)  10 Dy 3.57-3.59, 2 Y 3.58
Nd (0.5000, 0.7499, 0.3747)  10 Dy 3.57-3.59, 2 Y 3.58
Nd (0.5000, 0.7501, 0.8747)  10 Dy 3.57-3.59, 2 Y 3.58
Y (0.0000, 0.0000, 0.5000)  8 Dy 3.58-3.59, 4 Nd 3.58
Y (0.0000, 0.5000, 0.0000)  8 Dy 3.58-3.59, 4 Nd 3.58

## Properties
calculated volume = 519 Å³/cell
calculated density = 7.61 g/cm³

***

Which of them is least stable? Easy: *w*.

***

*w*
Material: Nd3Dy2Y
Method: DFT, GGA-PBE
State: relaxed

Cell: 3.5857 9.7389 11.6766 Å, 85.75 90.00 90.00°
With the nearest neighbours (Å) after each atom.
Element x y z (fractional)
Nd (0.7500, 0.9241, 0.1200)  2 Dy 3.50-3.53, 7 Nd 3.54-3.59, 2 Y 3.56
Nd (0.2500, 0.0759, 0.8800)  2 Dy 3.50-3.53, 7 Nd 3.54-3.59, 2 Y 3.56
Nd (0.7500, 0.5994, 0.6034)  5 Nd 3.48-3.67, 3 Y 3.49-3.65, 4 Dy 3.61-3.69
Nd (0.2500, 0.2414, 0.1396)  6 Nd 3.48-3.59, 5 Dy 3.59-3.71
Nd (0.2500, 0.4006, 0.3966)  5 Nd 3.48-3.67, 3 Y 3.49-3.65, 4 Dy 3.61-3.69
Nd (0.7500, 0.7586, 0.8604)  6 Nd 3.48-3.59, 5 Dy 3.59-3.71
Dy (0.2500, 0.9190, 0.6201)  5 Nd 3.50-3.61, 3 Y 3.56-3.64, 4 Dy 3.59
Dy (0.7500, 0.0810, 0.3799)  5 Nd 3.50-3.61, 3 Y 3.56-3.64, 4 Dy 3.59
Dy (0.7500, 0.5606, 0.1445)  6 Nd 3.53-3.71, 2 Dy 3.59, 2 Y 3.70
Dy (0.2500, 0.4394, 0.8555)  6 Nd 3.53-3.71, 2 Dy 3.59, 2 Y 3.70
Y (0.7500, 0.2410, 0.6445)  5 Nd 3.49-3.65, 5 Dy 3.56-3.70, 2 Y 3.59
Y (0.2500, 0.7590, 0.3555)  5 Nd 3.49-3.65, 5 Dy 3.56-3.70, 2 Y 3.59

## Properties
calculated volume = 407 Å³/cell
calculated density = 6.91 g/cm³

***

*x*
Material: Nd3Dy2Y
Method: DFT, GGA-PBE
State: relaxed

Cell: 7.2402 6.2613 12.0048 Å, 110.30 90.00 125.32°
With the nearest neighbours (Å) after each atom.
Element x y z (fractional)
Nd (0.0418, 0.3337, 0.0836)  5 Dy 3.61-3.63, 3 Y 3.61-3.62, 4 Nd 3.62
Nd (0.6250, 0.0000, 0.2500)  6 Dy 3.61-3.62, 4 Nd 3.62, 2 Y 3.62
Nd (0.3750, 0.0000, 0.7500)  6 Dy 3.61-3.62, 4 Nd 3.62, 2 Y 3.62
Nd (0.2919, 0.3337, 0.5836)  5 Dy 3.61-3.63, 3 Y 3.61-3.62, 4 Nd 3.62
Nd (0.7081, 0.6663, 0.4164)  5 Dy 3.61-3.63, 3 Y 3.61-3.62, 4 Nd 3.62
Nd (0.9582, 0.6663, 0.9164)  5 Dy 3.61-3.63, 3 Y 3.61-3.62, 4 Nd 3.62
Dy (0.5412, 0.3325, 0.0825)  2 Dy 3.61, 8 Nd 3.61-3.63, 2 Y 3.62
Dy (0.7913, 0.3325, 0.5825)  2 Dy 3.61, 8 Nd 3.61-3.63, 2 Y 3.62
Dy (0.2087, 0.6675, 0.4175)  2 Dy 3.61, 8 Nd 3.61-3.63, 2 Y 3.62
Dy (0.4588, 0.6675, 0.9175)  2 Dy 3.61, 8 Nd 3.61-3.63, 2 Y 3.62
Y (0.8753, 0.0000, 0.7500)  8 Nd 3.61-3.62, 4 Dy 3.62
Y (0.1247, 0.0000, 0.2500)  8 Nd 3.61-3.62, 4 Dy 3.62

## Properties
calculated volume = 402 Å³/cell
calculated density = 7.00 g/cm³

***

Which of them is least stable? Easy: *w*.

***

*w*
Material: Nd3Dy2Y2
Method: DFT, GGA-PBE
State: relaxed

Cell: 3.5393 8.6104 9.0071 Å, 118.15 101.33 90.00°
With the nearest neighbours (Å) after each atom.
Element x y z (fractional)
Nd (0.2127, 0.8002, 0.4254)  5 Nd 3.38-3.54, 3 Dy 3.50-3.64, 3 Y 3.64-3.68
Nd (0.0000, 0.5000, 0.0000)  4 Nd 3.38-3.54, 2 Y 3.54, 4 Dy 3.60
Nd (0.7873, 0.1998, 0.5746)  5 Nd 3.38-3.54, 3 Dy 3.50-3.64, 3 Y 3.64-3.68
Y (0.1444, 0.3238, 0.2888)  4 Y 3.54-3.92, 4 Nd 3.54-3.68, 4 Dy 3.61-3.69
Y (0.8556, 0.6762, 0.7112)  4 Y 3.54-3.92, 4 Nd 3.54-3.68, 4 Dy 3.61-3.69
Dy (0.4355, 0.0906, 0.8709)  3 Dy 3.33-3.54, 5 Nd 3.50-3.64, 4 Y 3.61-3.69
Dy (0.5645, 0.9094, 0.1291)  3 Dy 3.33-3.54, 5 Nd 3.50-3.64, 4 Y 3.61-3.69

## Properties
calculated volume = 236 Å³/cell
calculated density = 6.58 g/cm³

***

*x*
Material: Nd3Dy2Y2
Method: DFT, GGA-PBE
State: relaxed

Cell: 3.6135 11.9565 6.2549 Å, 69.73 73.16 98.63°
With the nearest neighbours (Å) after each atom.
Element x y z (fractional)
Y (0.8569, 0.1423, 0.4284)  4 Y 3.60-3.61, 3 Dy 3.60-3.61, 5 Nd 3.60-3.63
Y (0.1431, 0.8577, 0.5716)  4 Y 3.60-3.61, 3 Dy 3.60-3.61, 5 Nd 3.60-3.63
Nd (0.0000, 0.0000, 0.0000)  4 Dy 3.59-3.60, 6 Y 3.60-3.61, 2 Nd 3.61
Nd (0.5726, 0.4297, 0.2860)  5 Nd 3.58-3.62, 5 Dy 3.61-3.63, 2 Y 3.62-3.63
Nd (0.4274, 0.5703, 0.7140)  5 Nd 3.58-3.62, 5 Dy 3.61-3.63, 2 Y 3.62-3.63
Dy (0.7120, 0.2841, 0.8600)  7 Nd 3.59-3.63, 3 Y 3.60-3.61, 2 Dy 3.61
Dy (0.2880, 0.7159, 0.1400)  7 Nd 3.59-3.63, 3 Y 3.60-3.61, 2 Dy 3.61

## Properties
calculated volume = 233 Å³/cell
calculated density = 6.67 g/cm³

***

Which of them is least stable? Easy: *w*.

***

*w*
Material: NdDy6Y3
Method: DFT, GGA-PBE
State: relaxed

Cell: 6.1744 11.0188 11.0188 Å, 119.51 90.00 90.00°
With the nearest neighbours (Å) after each atom.
Element x y z (fractional)
Dy (0.8676, 0.9609, 0.5386)  5 Dy 3.23-3.42, 2 Nd 3.26-3.47, 2 Y 3.30-3.58
Dy (0.0293, 0.3821, 0.2882)  6 Dy 3.41-3.78, 4 Y 3.43-3.59
Dy (0.3676, 0.5386, 0.9609)  5 Dy 3.23-3.42, 2 Nd 3.26-3.47, 2 Y 3.30-3.58
Dy (0.8676, 0.4614, 0.0391)  5 Dy 3.23-3.42, 2 Nd 3.26-3.47, 2 Y 3.30-3.58
Dy (0.9220, 0.0467, 0.9533)  1 Nd 3.34, 4 Y 3.53-3.63, 2 Dy 3.56
Dy (0.5293, 0.6179, 0.7118)  6 Dy 3.41-3.78, 4 Y 3.43-3.59
Dy (0.5293, 0.2882, 0.3821)  6 Dy 3.41-3.78, 4 Y 3.43-3.59
Dy (0.3676, 0.0391, 0.4614)  5 Dy 3.23-3.42, 2 Nd 3.26-3.47, 2 Y 3.30-3.58
Dy (0.0293, 0.7118, 0.6179)  6 Dy 3.41-3.78, 4 Y 3.43-3.59
Dy (0.6366, 0.2829, 0.7171)  4 Dy 3.23-3.41, 1 Y 3.36, 2 Nd 3.36-3.46
Dy (0.4220, 0.9533, 0.0467)  1 Nd 3.34, 4 Y 3.53-3.63, 2 Dy 3.56
Dy (0.1366, 0.7171, 0.2829)  4 Dy 3.23-3.41, 1 Y 3.36, 2 Nd 3.36-3.46
Nd (0.6447, 0.7932, 0.2068)  7 Dy 3.26-3.47, 3 Y 3.30-3.52
Nd (0.1447, 0.2068, 0.7932)  7 Dy 3.26-3.47, 3 Y 3.30-3.52
Y (0.9600, 0.7193, 0.9371)  6 Dy 3.30-3.63, 1 Nd 3.30
Y (0.4600, 0.9371, 0.7193)  6 Dy 3.30-3.63, 1 Nd 3.30
Y (0.0682, 0.3901, 0.6099)  5 Dy 3.36-3.59, 1 Nd 3.52, 2 Y 3.70
Y (0.4600, 0.2807, 0.0629)  6 Dy 3.30-3.63, 1 Nd 3.30
Y (0.9600, 0.0629, 0.2807)  6 Dy 3.30-3.63, 1 Nd 3.30
Y (0.5682, 0.6099, 0.3901)  5 Dy 3.36-3.59, 1 Nd 3.52, 2 Y 3.70

## Properties
calculated volume = 652 Å³/cell
calculated density = 7.06 g/cm³

***

*x*
Material: NdDy6Y3
Method: DFT, GGA-PBE
State: relaxed

Cell: 9.8571 9.8571 6.8980 Å, 44.40 44.40 60.00°
With the nearest neighbours (Å) after each atom.
Element x y z (fractional)
Dy (0.9013, 0.5704, 0.2983)  1 Nd 3.25, 2 Y 3.43-3.44
Dy (0.5704, 0.2300, 0.2983)  1 Nd 3.25, 2 Y 3.43-3.44
Dy (0.7307, 0.0698, 0.7979)  3 Y 3.26-3.45
Dy (0.2300, 0.9013, 0.2983)  1 Nd 3.25, 2 Y 3.43-3.44
Dy (0.0698, 0.4016, 0.7979)  3 Y 3.26-3.45
Dy (0.4016, 0.7307, 0.7979)  3 Y 3.26-3.45
Nd (0.8998, 0.8998, 0.3005)  2 Y 2.94-2.97, 3 Dy 3.25
Y (0.1510, 0.1510, 0.5469)  1 Y 2.90, 1 Nd 2.94
Y (0.3993, 0.3993, 0.8022)  2 Y 2.89-2.90
Y (0.6461, 0.6461, 0.0618)  1 Y 2.89, 1 Nd 2.97

## Properties
calculated volume = 328 Å³/cell
calculated density = 7.02 g/cm³

***

Which of them is least stable? Easy: *x*.

***

*w*
Material: Nd5Dy2Y3
Method: DFT, GGA-PBE
State: relaxed

Cell: 10.1466 10.1247 9.1626 Å, 108.21 108.31 115.68°
With the nearest neighbours (Å) after each atom.
Element x y z (fractional)
Y (0.7300, 0.9800, 0.9601)  3 Nd 3.07-3.43, 2 Dy 3.41
Y (0.2700, 0.0200, 0.0399)  3 Nd 3.07-3.43, 2 Dy 3.41
Y (0.4676, 0.5239, 0.7486)  1 Dy 3.29, 5 Nd 3.42-3.53, 1 Y 3.56
Y (0.5324, 0.4761, 0.2514)  1 Dy 3.29, 5 Nd 3.42-3.53, 1 Y 3.56
Y (0.7810, 0.2247, 0.7486)  1 Dy 3.29, 5 Nd 3.42-3.53, 1 Y 3.56
Y (0.2190, 0.7753, 0.2514)  1 Dy 3.29, 5 Nd 3.42-3.53, 1 Y 3.56
Nd (0.9845, 0.7345, 0.4691)  3 Nd 3.14-3.45, 2 Dy 3.39
Nd (0.8704, 0.6340, 0.7564)  3 Y 3.43-3.81, 3 Nd 3.44-3.50, 1 Dy 3.74
Nd (0.3860, 0.1224, 0.7564)  3 Y 3.43-3.81, 3 Nd 3.44-3.50, 1 Dy 3.74
Nd (0.1296, 0.3660, 0.2436)  3 Y 3.43-3.81, 3 Nd 3.44-3.50, 1 Dy 3.74
Nd (0.6140, 0.8776, 0.2436)  3 Y 3.43-3.81, 3 Nd 3.44-3.50, 1 Dy 3.74
Nd (0.2274, 0.4774, 0.9549)  3 Nd 3.14-3.44, 4 Y 3.42-3.49, 2 Dy 3.46
Nd (0.5230, 0.7730, 0.5461)  3 Y 3.07-3.42
Nd (0.7726, 0.5226, 0.0451)  3 Nd 3.14-3.44, 4 Y 3.42-3.49, 2 Dy 3.46
Nd (0.0155, 0.2655, 0.5309)  3 Nd 3.14-3.45, 2 Dy 3.39
Nd (0.4770, 0.2270, 0.4539)  3 Y 3.07-3.42
Dy (0.0253, 0.9655, 0.2479)  3 Y 3.29-3.54, 4 Nd 3.39-3.54
Dy (0.9747, 0.0345, 0.7521)  3 Y 3.29-3.54, 4 Nd 3.39-3.54
Dy (0.2774, 0.7176, 0.7521)  3 Y 3.29-3.54, 4 Nd 3.39-3.54
Dy (0.7226, 0.2824, 0.2479)  3 Y 3.29-3.54, 4 Nd 3.39-3.54

## Properties
calculated volume = 686 Å³/cell
calculated density = 6.36 g/cm³

***

*x*
Material: Nd5Dy2Y3
Method: DFT, GGA-PBE
State: relaxed

Cell: 6.4823 11.0793 11.0793 Å, 102.49 72.99 72.99°
With the nearest neighbours (Å) after each atom.
Element x y z (fractional)
Nd (0.7477, 0.5810, 0.9236)  2 Nd 3.37, 1 Y 3.40, 1 Dy 3.43
Nd (0.4975, 0.7525, 0.7525)  1 Y 3.04, 5 Nd 3.10-3.37
Nd (0.9975, 0.7525, 0.7525)  1 Y 3.04, 5 Nd 3.10-3.37
Nd (0.2500, 0.5000, 0.5000)  4 Nd 3.10-3.24
Nd (0.2523, 0.4190, 0.0764)  2 Nd 3.37, 1 Y 3.40, 1 Dy 3.43
Nd (0.7523, 0.0764, 0.4190)  2 Nd 3.37, 1 Y 3.40, 1 Dy 3.43
Nd (0.7500, 0.5000, 0.5000)  4 Nd 3.10-3.24
Nd (0.2477, 0.9236, 0.5810)  2 Nd 3.37, 1 Y 3.40, 1 Dy 3.43
Nd (0.0025, 0.2475, 0.2475)  1 Y 3.04, 5 Nd 3.10-3.37
Nd (0.5025, 0.2475, 0.2475)  1 Y 3.04, 5 Nd 3.10-3.37
Dy (0.9125, 0.2559, 0.9190)  3 Nd 3.43-3.79, 3 Y 3.50-3.54
Dy (0.5875, 0.0810, 0.7441)  3 Nd 3.43-3.79, 3 Y 3.50-3.54
Dy (0.0875, 0.7441, 0.0810)  3 Nd 3.43-3.79, 3 Y 3.50-3.54
Dy (0.4125, 0.9190, 0.2559)  3 Nd 3.43-3.79, 3 Y 3.50-3.54
Y (0.4128, 0.4189, 0.7554)  3 Nd 3.40-3.50, 1 Dy 3.54
Y (0.9128, 0.7554, 0.4189)  3 Nd 3.40-3.50, 1 Dy 3.54
Y (0.2500, 0.0000, 0.0000)  2 Nd 3.04, 2 Y 3.24
Y (0.0872, 0.2446, 0.5811)  3 Nd 3.40-3.50, 1 Dy 3.54
Y (0.5872, 0.5811, 0.2446)  3 Nd 3.40-3.50, 1 Dy 3.54
Y (0.7500, 0.0000, 0.0000)  2 Nd 3.04, 2 Y 3.24

## Properties
calculated volume = 687 Å³/cell
calculated density = 6.35 g/cm³

***

Which of them is least stable? Easy: *x*.